Zn3Cr4 | GGA-PBE | optimized geometry

The space group is I4/mmm, No. 139.

a b c (Å): 10.356 10.356 10.356
angles (deg): 163.19 163.19 23.86
Last column: magnetic moment on the atom in μB.
Atoms (fractional coordinates):
Zn1 0.000 0.000 0.000  0.02
Zn2 0.713 0.713 0.000  0.00
Zn3 0.287 0.287 0.000  0.00
Cr1 0.867 0.867 0.000  1.87
Cr2 0.579 0.579 0.000  -1.62
Cr3 0.421 0.421 0.000  -1.62
Cr4 0.133 0.133 0.000  1.87

Pm2GdSc | GGA-PBE | optimized geometry

The space group is P4/mmm, No. 123. The calculation puts the energy above the most stable polymorph in this dataset at 0.00 eV per formula unit.

a b c (Å): 4.943 5.016 5.016
angles (deg): 90.00 90.00 90.00
Last column: magnetic moment on the atom in μB.
Atoms (fractional coordinates):
Sc1 0.500 0.500 0.500  -0.04
Gd1 0.500 0.000 0.000  7.15
Pm1 0.000 0.000 0.500  -0.03
Pm2 0.000 0.500 0.000  -0.03

Pm3Au2 | GGA-PBE | optimized geometry

The space group is P4/mbm, No. 127. The calculation puts the energy above the most stable polymorph in this dataset at 0.00 eV per formula unit.

a b c (Å): 3.897 8.380 8.380
angles (deg): 90.00 90.00 90.00
Atoms (fractional coordinates):
Pm1 0.000 0.000 0.000
Pm2 0.000 0.500 0.500
Pm3 0.500 0.165 0.665
Pm4 0.500 0.335 0.165
Pm5 0.500 0.665 0.835
Pm6 0.500 0.835 0.335
Au1 0.000 0.371 0.871
Au2 0.000 0.129 0.371
Au3 0.000 0.871 0.629
Au4 0.000 0.629 0.129

LiDySn2 | GGA-PBE | optimized geometry

The space group is Cmcm, No. 63. The calculation puts the energy above the most stable polymorph in this dataset at 0.46 eV per formula unit.

a b c (Å): 9.868 9.868 4.490
angles (deg): 90.00 90.00 154.65
Atoms (fractional coordinates):
Li1 0.672 0.328 0.750
Li2 0.328 0.672 0.250
Dy1 0.895 0.105 0.750
Dy2 0.105 0.895 0.250
Sn1 0.544 0.456 0.750
Sn2 0.456 0.544 0.250
Sn3 0.252 0.748 0.750
Sn4 0.748 0.252 0.250

Ba2SrHfPb | GGA-PBE | optimized geometry

The space group is P4/mmm, No. 123.

a b c (Å): 6.436 6.476 6.436
angles (deg): 90.00 90.00 90.00
Last column: magnetic moment on the atom in μB.
Atoms (fractional coordinates):
Pb1 0.500 0.500 0.500  -0.12
Sr1 0.000 0.500 0.000  0.08
Hf1 0.000 0.000 0.000  0.96
Ba1 0.000 0.000 0.500  0.13
Ba2 0.500 0.000 0.000  0.11

no.,M_tot (μB/f.u.),formation energy from the elements (kJ/mol of formula units)
1,0.6,71
2,7.2,14
3,0.0,-313
4,0.0,-171
5,2.0,356